1.
TcOs2Br, optimized geometry, DFT PBE-GGA; relative energy among the computed polymorphs = 31.3 kJ per mole of atoms; energy relative to the elements, uncorrected = 1.01 eV per atom; density = 13.74 g/cm³
1.0
2.839 0.000 0.000
0.000 3.613 0.000
0.000 0.000 6.579
Os Tc Br
2 1 1
Cartesian
0.000 0.000 0.320
0.000 0.000 2.970
1.420 1.807 1.645
1.420 1.807 4.935

2.
NaSrAcPt, optimized geometry, DFT PBE-GGA; relative energy among the computed polymorphs = 0.0 kJ per mole of atoms; density = 5.37 g/cm³
1.0
5.067 0.000 0.000
0.000 5.067 0.000
0.000 0.000 12.842
Na Sr Ac Pt
2 2 2 2
Cartesian
1.267 3.800 6.421
3.800 1.267 6.421
3.800 3.800 3.213
1.267 1.267 9.629
3.800 1.267 0.000
1.267 3.800 0.000
3.800 3.800 11.146
1.267 1.267 1.696

3.
ZrZn3Se, optimized geometry, DFT PBE-GGA; relative energy among the computed polymorphs = 25.8 kJ per mole of atoms; energy relative to the elements, uncorrected = 0.94 eV per atom; density = 4.15 g/cm³
1.0
5.271 0.000 0.000
0.000 5.271 0.000
0.000 0.000 5.271
Zn Se Zr
3 1 1
Cartesian
0.000 2.636 0.000
0.000 0.000 2.636
2.636 0.000 0.000
2.636 2.636 2.636
0.000 0.000 0.000

4.
Li2Hf3Mg2, optimized geometry, DFT PBE-GGA; E = -36.690 eV per cell; density = 6.42 g/cm³
1.0
-1.296 -2.723 0.845
2.700 -0.922 1.172
-3.350 7.658 13.738
Li Hf Mg
2 3 2
Cartesian
-0.950 3.161 8.730
-0.997 0.853 7.025
-2.096 4.967 12.792
0.150 -0.953 2.963
0.000 0.000 0.000
-1.154 1.817 4.086
-3.492 3.118 10.497